No. 1
Entry from the Alexandria database: PaSbAsAu after structural relaxation (PBE).

Calculated values
The value obtained for the raw formation energy is -516 meV per atom. The total energy comes out at -5.902 eV/atom. As for the space-group type: P4/nmm, No. 129. The value obtained for the total magnetization is 0.000 μB per cell.

a = 4.3681 Å, b = 4.3681 Å, c = 9.3727 Å
α = 90.00°, β = 90.00°, γ = 90.00°
Atoms (fractional coordinates):
1 Pa 0.2500 0.2500 0.2131
2 Pa 0.7500 0.7500 0.7869
3 Sb 0.2500 0.2500 0.7029
4 Sb 0.7500 0.7500 0.2971
5 As 0.2500 0.7500 0.0000
6 As 0.7500 0.2500 0.0000
7 Au 0.2500 0.7500 0.5000
8 Au 0.7500 0.2500 0.5000

***

No. 2
Entry from the Alexandria database: Sr3LaIn2 after structural relaxation (PBE).

Calculated values
The total energy comes out at -2.888 eV/atom. The value obtained for the formation enthalpy at 0 K is -313 meV per atom. As for the space-group type: Pmc2_1, No. 26. The value obtained for the total magnetization is 0.000 μB per cell.

a = 5.6188 Å, b = 10.5168 Å, c = 7.5581 Å
α = 90.00°, β = 90.00°, γ = 90.00°
Atoms (fractional coordinates):
1 Sr 0.0000 0.0550 0.0000
2 Sr 0.0000 0.3201 0.3549
3 Sr 0.0000 0.6799 0.8549
4 Sr 0.0000 0.9450 0.5000
5 Sr 0.5000 0.1798 0.7035
6 Sr 0.5000 0.8202 0.2035
7 La 0.5000 0.4468 0.0556
8 La 0.5000 0.5532 0.5556
9 In 0.0000 0.3640 0.8154
10 In 0.0000 0.6360 0.3154
11 In 0.5000 0.1511 0.2418
12 In 0.5000 0.8489 0.7418

***

No. 3
Entry from the Alexandria database: Zr2TeOs after structural relaxation (PBE).

Calculated values
The value obtained for the raw formation energy is -385 meV per atom. The total energy comes out at -8.252 eV/atom. As for the space-group type: R-3m, No. 166. The value obtained for the total magnetization is 0.000 μB per cell.

a = 3.9194 Å, b = 3.9194 Å, c = 21.0542 Å
α = 90.00°, β = 90.00°, γ = 120.00°
Atoms (fractional coordinates):
1 Zr 0.0000 0.0000 0.2331
2 Zr 0.0000 0.0000 0.7669
3 Zr 0.3333 0.6667 0.4335
4 Zr 0.3333 0.6667 0.8998
5 Zr 0.6667 0.3333 0.1002
6 Zr 0.6667 0.3333 0.5665
7 Te 0.0000 0.0000 0.0000
8 Te 0.3333 0.6667 0.6667
9 Te 0.6667 0.3333 0.3333
10 Os 0.0000 0.0000 0.5000
11 Os 0.3333 0.6667 0.1667
12 Os 0.6667 0.3333 0.8333

***

What did the first record say?
Entry from the Alexandria database: PaSbAsAu after structural relaxation (PBE).

Calculated values
The value obtained for the raw formation energy is -516 meV per atom. The total energy comes out at -5.902 eV/atom. As for the space-group type: P4/nmm, No. 129. The value obtained for the total magnetization is 0.000 μB per cell.

a = 4.3681 Å, b = 4.3681 Å, c = 9.3727 Å
α = 90.00°, β = 90.00°, γ = 90.00°
Atoms (fractional coordinates):
1 Pa 0.2500 0.2500 0.2131
2 Pa 0.7500 0.7500 0.7869
3 Sb 0.2500 0.2500 0.7029
4 Sb 0.7500 0.7500 0.2971
5 As 0.2500 0.7500 0.0000
6 As 0.7500 0.2500 0.0000
7 Au 0.2500 0.7500 0.5000
8 Au 0.7500 0.2500 0.5000